Tm6GeP3S2, relaxed, DFT GGA-PBE; raw formation energy = -1643 meV/atom
1.0
8.5957 -1.9656 0.0000
8.5957 1.9656 0.0000
-1.8140 0.0000 7.7088
Tm Ge P S
6 1 3 2
Cartesian
-0.4327 0.0000 1.8965
4.9477 0.0000 3.2480
4.1117 0.0000 7.0230
11.2656 0.0000 0.6858
10.4297 0.0000 4.4608
15.8100 0.0000 5.8123
7.6887 0.0000 3.8544
2.2916 0.0000 2.5572
8.5957 0.0000 0.0000
13.0857 0.0000 5.1516
1.3842 0.0000 6.4635
13.9931 0.0000 1.2453